This record from Alexandria describes an optimized crystal structure of AgPH3. The functional is PBE.

Computed properties:
Total DFT energy (no corrections) = -3.025 eV per atom

Unit cell a=3.612 b=3.612 c=3.612 alpha=90.00 beta=90.00 gamma=90.00
Space group Pm-3m (No. 221)
Unique sites:
Ag: 0.000 0.000 0.000 x1
P: 0.500 0.500 0.500 x1
H: 0.000 0.500 0.500 x3

---

This record from Alexandria describes an optimized crystal structure of NdUFe4. The functional is PBE.

Computed properties:
Energy of formation from the pure elements = 0.478 eV per formula unit

Unit cell a=9.963 b=6.398 c=6.857 alpha=90.00 beta=114.31 gamma=90.00
Space group C2/m (No. 12)
Unique sites:
Nd: 0.206 0.000 0.303 x4
U: 0.026 0.500 0.225 x4
Fe: 0.000 0.178 0.500 x4
Fe: 0.103 0.219 0.897 x8
Fe: 0.250 0.000 0.781 x4

---

This record from Alexandria describes an optimized crystal structure of K4Na2Hg2Au. The functional is PBE.

Computed properties:
Energy of formation from the pure elements = -1.455 eV per formula unit

Unit cell a=6.438 b=8.019 c=8.207 alpha=115.92 beta=99.90 gamma=97.49
Space group P-1 (No. 2)
Unique sites:
K: 0.093 0.262 0.060 x2
K: 0.258 0.863 0.542 x2
Na: 0.324 0.478 0.662 x2
Hg: 0.430 0.696 0.105 x2
Au: 0.500 0.000 0.000 x1

---

This record from Alexandria describes an optimized crystal structure of CrHS3. The functional is PBE.

Computed properties:
Total DFT energy (no corrections) = -3.930 eV per atom

Unit cell a=3.942 b=3.942 c=3.942 alpha=90.00 beta=90.00 gamma=90.00
Space group Pm-3m (No. 221)
Unique sites:
Cr: 0.000 0.000 0.000 x1
H: 0.500 0.500 0.500 x1
S: 0.000 0.500 0.500 x3

---

This record from Alexandria describes an optimized crystal structure of Ho4Zn2Ga. The functional is PBE.

Computed properties:
Energy of formation from the pure elements = -1.730 eV per formula unit

Unit cell a=8.899 b=8.899 c=8.747 alpha=90.00 beta=90.00 gamma=90.00
Space group I-42d (No. 122)
Unique sites:
Ho: 0.070 0.178 0.302 x16
Zn: 0.121 0.250 0.625 x8
Ga: 0.000 0.000 0.000 x4

---

This record from Alexandria describes an optimized crystal structure of ScPa2Te2S2. The functional is PBE.

Computed properties:
Raw formation energy = -1090 meV per atom

Unit cell a=4.751 b=4.751 c=15.717 alpha=90.00 beta=90.00 gamma=90.00
Space group I4/mmm (No. 139)
Unique sites:
Sc: 0.000 0.000 0.000 x2
Pa: 0.000 0.000 0.390 x4
Te: 0.000 0.000 0.185 x4
S: 0.000 0.500 0.000 x4

---

Number 1: magnetization 0.00 μB/cell. Number 2: magnetization 15.91 μB/cell. Number 3: magnetization 0.00 μB/cell. Number 4: magnetization 0.33 μB/cell. Number 5: magnetization 0.00 μB/cell. Number 6: magnetization 8.20 μB/cell.